Entry 1:
! ZrMnP2 meta-GGA SCAN single point on PBEsol structure; values from VASP
&SYSTEM
  ibrav = 0, nat = 4, ntyp = 3
/
ATOMIC_SPECIES
Zr 91.22 Zr.upf
Mn 54.94 Mn.upf
P 30.97 P.upf
CELL_PARAMETERS angstrom
3.557 0.000 0.000
0.000 3.557 0.000
0.000 0.000 5.151
ATOMIC_POSITIONS angstrom
Zr 0.000 0.000 0.000
Mn 1.778 1.778 2.058
P 0.000 0.000 2.495
P 1.778 1.778 4.655
! Energy relative to the elements, eV per atom: -0.917


Entry 2:
! MnPb3 meta-GGA SCAN single point on PBEsol structure; values from VASP
&SYSTEM
  ibrav = 0, nat = 4, ntyp = 2
/
ATOMIC_SPECIES
Mn 54.94 Mn.upf
Pb 207.20 Pb.upf
CELL_PARAMETERS angstrom
1.689 0.975 10.279
-1.689 0.975 10.279
0.000 -1.950 10.279
ATOMIC_POSITIONS angstrom
Mn 0.000 0.000 0.000
Pb 0.000 0.000 8.085
Pb 0.000 0.000 15.419
Pb 0.000 0.000 22.752
! Energy relative to the elements, eV per atom: 0.123


Entry 3:
! MnPb3 meta-GGA SCAN single point on PBEsol structure; values from VASP
&SYSTEM
  ibrav = 0, nat = 4, ntyp = 2
/
ATOMIC_SPECIES
Mn 54.94 Mn.upf
Pb 207.20 Pb.upf
CELL_PARAMETERS angstrom
4.685 0.000 0.000
0.000 4.685 0.000
0.000 0.000 4.685
ATOMIC_POSITIONS angstrom
Mn 0.000 0.000 0.000
Pb 0.000 2.343 2.343
Pb 2.343 0.000 2.343
Pb 2.343 2.343 0.000
! Energy relative to the elements, eV per atom: 0.150


Entry 4:
! MnPtPb2 meta-GGA SCAN single point on PBEsol structure; values from VASP
&SYSTEM
  ibrav = 0, nat = 4, ntyp = 3
/
ATOMIC_SPECIES
Mn 54.94 Mn.upf
Pt 195.08 Pt.upf
Pb 207.20 Pb.upf
CELL_PARAMETERS angstrom
4.208 -1.737 0.000
4.208 1.737 0.000
-1.336 0.000 6.119
ATOMIC_POSITIONS angstrom
Mn 0.000 0.000 0.000
Pt 1.184 0.000 5.293
Pb 3.649 0.000 3.789
Pb 6.020 0.000 1.453
! Energy relative to the elements, eV per atom: -0.110


Entry 5:
! MnPt2Pb meta-GGA SCAN single point on PBEsol structure; values from VASP
&SYSTEM
  ibrav = 0, nat = 4, ntyp = 3
/
ATOMIC_SPECIES
Mn 54.94 Mn.upf
Pt 195.08 Pt.upf
Pb 207.20 Pb.upf
CELL_PARAMETERS angstrom
2.830 -2.826 0.000
2.830 2.826 0.000
-2.799 0.000 4.185
ATOMIC_POSITIONS angstrom
Mn 0.000 0.000 0.000
Pt 2.830 -0.002 0.000
Pt 1.431 -1.427 2.093
Pb 1.431 1.404 2.093
! Energy relative to the elements, eV per atom: -0.227


Entry 6:
! RbMn2RePb meta-GGA SCAN single point on PBEsol structure; values from VASP
&SYSTEM
  ibrav = 0, nat = 5, ntyp = 4
/
ATOMIC_SPECIES
Rb 85.47 Rb.upf
Mn 54.94 Mn.upf
Re 186.21 Re.upf
Pb 207.20 Pb.upf
CELL_PARAMETERS angstrom
4.768 0.000 0.000
0.000 4.768 0.000
0.000 0.000 4.863
ATOMIC_POSITIONS angstrom
Rb 0.000 0.000 0.000
Mn 0.000 2.384 0.000
Mn 2.384 0.000 0.000
Re 0.000 0.000 2.431
Pb 2.384 2.384 2.431
! Energy relative to the elements, eV per atom: 2.629


no.,raw total energy (eV/atom)
1,-18.35
2,-61.28
3,-61.25
4,-60.11
5,-58.83
6,-38.20